1.
The following is a DFT calculation (GGA-PBE) of a geometry-optimized BiPdNF2 structure.

a = 4.285 Å, b = 4.285 Å, c = 4.033 Å
α = 90.00°, β = 90.00°, γ = 90.00°
Element x y z (fractional)
Bi 0.500 0.500 0.500
F 0.000 0.500 0.000
N 0.000 0.000 0.500
Pd 0.000 0.000 0.000
F 0.500 0.000 0.000

Mass density ... 8.2 g/cm3
Total moment ... 0.000 μB per atom
E_form (uncorrected) ... -200 meV/atom
Space-group type ... P4/mmm, No. 123

---

2.
The following is a DFT calculation (GGA-PBE) of a geometry-optimized Ag4SnSb structure.

a = 5.323 Å, b = 5.323 Å, c = 9.567 Å
α = 106.12°, β = 106.12°, γ = 89.69°
Element x y z (fractional)
Ag 0.832 0.334 0.167
Ag 0.586 0.586 0.669
Sb 0.000 0.500 0.500
Sb 0.500 0.000 0.500
Sn 0.249 0.249 0.000
Ag 0.334 0.832 0.167
Sn 0.751 0.751 0.000
Ag 0.168 0.666 0.833
Ag 0.916 0.916 0.331
Ag 0.666 0.168 0.833
Ag 0.084 0.084 0.669
Ag 0.414 0.414 0.331

Mass density ... 8.9 g/cm3
Total moment ... 0.000 μB per atom
E_form (uncorrected) ... 56 meV/atom
Space-group type ... C2/m, No. 12

---

3.
The following is a DFT calculation (GGA-PBE) of a geometry-optimized SrCaMg2Pb2 structure.

a = 5.057 Å, b = 5.057 Å, c = 8.003 Å
α = 90.00°, β = 90.00°, γ = 120.00°
Element x y z (fractional)
Pb 0.333 0.667 0.261
Mg 0.667 0.333 0.303
Mg 0.333 0.667 0.697
Pb 0.667 0.333 0.739
Sr 0.000 0.000 0.000
Ca 0.000 0.000 0.500

E_tot ... -2.793 eV/atom
Mass density ... 5.5 g/cm3
Total moment ... 0.000 μB per atom
Space-group type ... P-3m1, No. 164

---

4.
The following is a DFT calculation (GGA-PBE) of a geometry-optimized KCdHg2 structure.

a = 8.765 Å, b = 8.765 Å, c = 8.765 Å
α = 28.59°, β = 28.59°, γ = 28.59°
Element x y z (fractional)
Hg 0.013 0.013 0.013
Hg 0.487 0.487 0.487
Cd 0.750 0.750 0.750
K 0.250 0.250 0.250

E_tot ... -0.771 eV/atom
Mass density ... 6.7 g/cm3
Total moment ... 0.000 μB per atom
Space-group type ... R-3m, No. 166

---

5.
The following is a DFT calculation (GGA-PBE) of a geometry-optimized Na2MgZrS4 structure.

a = 3.785 Å, b = 6.543 Å, c = 6.977 Å
α = 108.21°, β = 90.00°, γ = 90.00°
Element x y z (fractional)
Na 0.000 0.500 0.500
Zr 0.500 0.500 0.000
S 0.500 0.243 0.213
S 0.000 0.266 0.780
S 0.000 0.734 0.220
S 0.500 0.757 0.787
Mg 0.000 0.000 0.000
Na 0.500 0.000 0.500

Mass density ... 2.9 g/cm3
Total moment ... 0.000 μB per atom
E_form (uncorrected) ... -1432 meV/atom
Space-group type ... P2/m, No. 10

---

6.
The following is a DFT calculation (GGA-PBE) of a geometry-optimized K2In3GaAu4 structure.

a = 5.034 Å, b = 5.034 Å, c = 10.390 Å
α = 90.00°, β = 90.00°, γ = 90.00°
Element x y z (fractional)
Au 0.000 0.500 0.388
Au 0.500 0.500 0.000
K 0.500 0.000 0.244
Au 0.000 0.000 0.000
Au 0.500 0.000 0.612
In 0.000 0.000 0.500
In 0.500 0.000 0.880
K 0.000 0.500 0.756
In 0.000 0.500 0.120
Ga 0.500 0.500 0.500

E_tot ... -2.947 eV/atom
Mass density ... 8.1 g/cm3
Total moment ... 0.000 μB per atom
Space-group type ... P-4m2, No. 115

---

7.
The following is a DFT calculation (GGA-PBE) of a geometry-optimized NpPaNbN3 structure.

a = 3.218 Å, b = 7.126 Å, c = 8.082 Å
α = 86.79°, β = 90.00°, γ = 90.00°
Site moments in Bohr magnetons follow the coordinates.
Element x y z (fractional)
Pa 0.250 0.604 0.172  0.17
Nb 0.250 0.153 0.558  -0.07
N 0.250 0.855 0.618  -0.06
Np 0.250 0.114 0.162  3.23
Nb 0.750 0.847 0.442  -0.07
N 0.250 0.622 0.897  -0.04
N 0.750 0.378 0.103  -0.04
N 0.250 0.150 0.847  -0.07
N 0.750 0.145 0.382  -0.06
Np 0.750 0.886 0.838  3.23
N 0.750 0.850 0.153  -0.07
Pa 0.750 0.396 0.828  0.17

Mass density ... 10.8 g/cm3
Total moment ... 0.560 μB per atom
E_form (uncorrected) ... -980 meV/atom
Space-group type ... P2_1/m, No. 11

---

8.
The following is a DFT calculation (GGA-PBE) of a geometry-optimized LaTb6Pm3 structure.

a = 9.978 Å, b = 9.978 Å, c = 6.959 Å
α = 44.20°, β = 44.20°, γ = 60.00°
Element x y z (fractional)
Pm 0.400 0.400 0.801
Pm 0.648 0.648 0.056
Tb 0.228 0.901 0.299
Tb 0.901 0.572 0.299
Tb 0.725 0.075 0.799
Tb 0.572 0.228 0.299
La 0.900 0.900 0.301
Tb 0.401 0.725 0.799
Pm 0.151 0.151 0.548
Tb 0.075 0.401 0.799

E_tot ... -4.422 eV/atom
Mass density ... 7.5 g/cm3
Total moment ... 0.000 μB per atom
Space-group type ... R3, No. 146

---

9.
The following is a DFT calculation (GGA-PBE) of a geometry-optimized CsMgNi2 structure.

a = 4.986 Å, b = 4.986 Å, c = 9.580 Å
α = 74.92°, β = 74.92°, γ = 90.00°
Site moments in Bohr magnetons follow the coordinates.
Element x y z (fractional)
Cs 0.750 0.250 0.500  -0.01
Ni 0.375 0.625 0.750  0.36
Ni 0.875 0.625 0.750  0.36
Ni 0.375 0.625 0.250  0.64
Mg 0.500 0.500 0.000  -0.01
Mg 0.250 0.750 0.500  -0.01
Ni 0.375 0.125 0.250  0.64
Cs 0.000 0.000 0.000  -0.01

E_tot ... -2.877 eV/atom
Mass density ... 4.1 g/cm3
Total moment ... 0.201 μB per atom
Space-group type ... I4_1/amd, No. 141

---

10.
The following is a DFT calculation (GGA-PBE) of a geometry-optimized SrOsPt2 structure.

a = 5.231 Å, b = 5.231 Å, c = 5.231 Å
α = 133.26°, β = 133.26°, γ = 68.25°
Site moments in Bohr magnetons follow the coordinates.
Element x y z (fractional)
Os 0.750 0.250 0.500  1.25
Pt 0.000 0.000 0.000  0.25
Pt 0.250 0.750 0.500  0.16
Sr 0.500 0.500 0.000  0.01

E_tot ... -5.811 eV/atom
Mass density ... 14.9 g/cm3
Total moment ... 0.433 μB per atom
Space-group type ... I-4m2, No. 119

---

11.
The following is a DFT calculation (GGA-PBE) of a geometry-optimized Fe2SbI2 structure.

a = 8.294 Å, b = 8.294 Å, c = 3.237 Å
α = 90.00°, β = 90.00°, γ = 90.00°
Element x y z (fractional)
I 0.860 0.640 0.000
Fe 0.299 0.201 0.500
Sb 0.000 0.000 0.000
I 0.360 0.860 0.000
Fe 0.799 0.299 0.500
I 0.640 0.140 0.000
Sb 0.500 0.500 0.000
Fe 0.701 0.799 0.500
I 0.140 0.360 0.000
Fe 0.201 0.701 0.500

Mass density ... 7.3 g/cm3
Total moment ... 0.000 μB per atom
E_form (uncorrected) ... 1259 meV/atom
Space-group type ... P4/mbm, No. 127

---

12.
The following is a DFT calculation (GGA-PBE) of a geometry-optimized NaPrTmHg structure.

a = 5.419 Å, b = 5.419 Å, c = 5.419 Å
α = 60.00°, β = 60.00°, γ = 60.00°
Site moments in Bohr magnetons follow the coordinates.
Element x y z (fractional)
Hg 0.500 0.500 0.500  0.02
Pr 0.250 0.250 0.250  0.17
Na 0.000 0.000 0.000  0.01
Tm 0.750 0.750 0.750  0.24

E_tot ... -2.766 eV/atom
Mass density ... 7.9 g/cm3
Total moment ... 0.192 μB per atom
Space-group type ... F-43m, No. 216